Record 1
First-principles (GGA-PBE) data for MnCdSb2 after structural relaxation, as listed in Alexandria.

Summary:
E_form (uncorrected), kJ per mole of atoms: 44.6
Volume, Å³/atom: 29.46
VASP energy, eV per atom: -4.120
Fermi-level density of states, states/eV per cell: 10.51

abc: 6.263 6.263 7.463
angles: 65.19 65.19 90.00
Fractional coordinates of all 8 atoms:
Sb  0.560  0.125  0.250
Sb  0.190  0.625  0.250
Sb  0.375  0.440  0.750
Sb  0.875  0.810  0.750
Mn  0.500  0.500  0.000
Mn  0.250  0.750  0.500
Cd  0.000  0.000  0.000
Cd  0.750  0.250  0.500

Record 2
First-principles (GGA-PBE) data for Ac4PRh4 after structural relaxation, as listed in Alexandria.

Summary:
Volume, Å³/atom: 26.74
VASP energy, eV per atom: -6.399
Fermi-level density of states, states/eV per cell: 8.63
Energy of formation, eV/atom: -0.7042

abc: 6.377 8.686 8.687
angles: 90.02 90.00 90.00
Fractional coordinates of all 18 atoms:
Ac  0.318  0.269  0.000
Ac  0.818  0.500  0.769
Ac  0.318  0.731  0.000
Ac  0.182  0.231  0.500
Ac  0.682  0.000  0.731
Ac  0.182  0.769  0.500
Ac  0.818  0.500  0.231
Ac  0.682  0.000  0.269
P  0.000  0.000  0.000
P  0.500  0.500  0.500
Rh  0.691  0.727  0.500
Rh  0.691  0.273  0.500
Rh  0.191  0.000  0.773
Rh  0.809  0.227  0.000
Rh  0.809  0.773  0.000
Rh  0.309  0.500  0.273
Rh  0.309  0.500  0.727
Rh  0.191  0.000  0.227

Record 3
First-principles (GGA-PBE) data for LiOsRh2 after structural relaxation, as listed in Alexandria.

Summary:
Distance to the lowest polymorph of the same formula, meV/atom: 4.7
Volume, Å³/atom: 13.43
VASP energy, eV per atom: -6.971
Fermi-level density of states, states/eV per cell: 3.62
Energy of formation, eV/atom: -0.0094

abc: 2.778 2.778 6.958
angles: 90.00 90.00 90.00
Fractional coordinates of all 4 atoms:
Li  0.500  0.500  0.250
Os  0.500  0.500  0.750
Rh  0.000  0.000  0.009
Rh  0.000  0.000  0.491

Record 4
First-principles (GGA-PBE) data for Ca4Zr3TaN8 after structural relaxation, as listed in Alexandria.

Summary:
E_form (uncorrected), kJ per mole of atoms: -138.9
Volume, Å³/atom: 13.15
VASP energy, eV per atom: -8.447
Fermi-level density of states, states/eV per cell: 2.55

abc: 6.581 6.774 6.581
angles: 119.06 120.00 90.00
Fractional coordinates of all 16 atoms:
Ca  0.500  0.000  0.000
Ca  0.500  0.000  0.500
Ca  0.000  0.000  0.000
Ca  0.000  0.000  0.500
Zr  0.500  0.500  0.000
Zr  0.500  0.500  0.500
Zr  0.000  0.500  0.500
Ta  0.000  0.500  0.000
N  0.232  0.714  0.982
N  0.232  0.714  0.464
N  0.261  0.283  0.522
N  0.750  0.714  0.982
N  0.250  0.286  0.018
N  0.739  0.717  0.478
N  0.768  0.286  0.536
N  0.768  0.286  0.018

Record 5
First-principles (GGA-PBE) data for SbTe2I2 after structural relaxation, as listed in Alexandria.

Summary:
Distance to the lowest polymorph of the same formula, meV/atom: 0.0
E_form (uncorrected), kJ per mole of atoms: -2.8
Volume, Å³/atom: 46.33
VASP energy, eV per atom: -2.730

abc: 7.824 8.605 8.149
angles: 81.67 71.43 62.96
Fractional coordinates of all 10 atoms:
Sb  0.162  0.677  0.000
Sb  0.838  0.323  0.000
Te  0.932  0.000  0.281
Te  0.709  0.000  0.090
Te  0.291  0.000  0.910
Te  0.068  0.000  0.719
I  0.541  0.435  0.760
I  0.459  0.565  0.240
I  0.976  0.565  0.760
I  0.024  0.435  0.240

Record 6
First-principles (GGA-PBE) data for SrZn3Br after structural relaxation, as listed in Alexandria.

Summary:
Distance to the lowest polymorph of the same formula, meV/atom: 92.5
E_form (uncorrected), kJ per mole of atoms: 37.3
Volume, Å³/atom: 50.56
VASP energy, eV per atom: -1.049
Fermi-level density of states, states/eV per cell: 2.17

abc: 6.323 6.323 6.323
angles: 90.00 90.00 90.00
Fractional coordinates of all 5 atoms:
Sr  0.000  0.000  0.000
Zn  0.000  0.500  0.000
Zn  0.000  0.000  0.500
Zn  0.500  0.000  0.000
Br  0.500  0.500  0.500

Record 7
First-principles (GGA-PBE) data for TlInSbPb after structural relaxation, as listed in Alexandria.

Summary:
Distance to the lowest polymorph of the same formula, meV/atom: 0.0
E_form (uncorrected), kJ per mole of atoms: 3.7
Volume, Å³/atom: 30.51
VASP energy, eV per atom: -3.195
Fermi-level density of states, states/eV per cell: 1.63

abc: 4.053 4.053 7.430
angles: 89.99 90.01 89.99
Fractional coordinates of all 4 atoms:
Tl  0.646  0.354  0.981
In  0.146  0.854  0.707
Sb  0.146  0.854  0.246
Pb  0.646  0.354  0.455

Record 8
First-principles (GGA-PBE) data for Ba2Fe2Ru after structural relaxation, as listed in Alexandria.

Summary:
Distance to the lowest polymorph of the same formula, meV/atom: 552.4
Volume, Å³/atom: 25.31
VASP energy, eV per atom: -4.486
Fermi-level density of states, states/eV per cell: 22.93
Energy of formation, eV/atom: 1.5231

abc: 9.002 9.002 3.124
angles: 90.00 90.00 90.00
Last column: magnetic moment on the atom in μB.
Fractional coordinates of all 10 atoms:
Ru  0.000  0.000  0.000  1.79
Ru  0.500  0.500  0.000  1.79
Ba  0.295  0.795  0.000  -0.03
Ba  0.795  0.705  0.000  -0.03
Ba  0.705  0.205  0.000  -0.03
Ba  0.205  0.295  0.000  -0.03
Fe  0.077  0.577  0.500  -0.18
Fe  0.577  0.923  0.500  -0.14
Fe  0.923  0.423  0.500  -0.18
Fe  0.423  0.077  0.500  -0.15